The following is a GGA-PBE calculation of a relaxed YAl7Pd5 crystal, from Alexandria via LeMat-Bulk.

Cell: 6.845 6.845 6.845 Å, 133.35 96.84 101.21°
Fractional coordinates of all 13 atoms:
Y: 0.000 0.000 0.000
Al: 0.201 0.492 0.709
Al: 0.232 0.732 0.500
Al: 0.357 0.357 0.000
Al: 0.364 0.016 0.348
Al: 0.658 0.658 0.000
Al: 0.668 0.016 0.652
Al: 0.782 0.492 0.291
Pd: 0.016 0.500 0.020
Pd: 0.016 0.997 0.517
Pd: 0.480 0.500 0.483
Pd: 0.480 0.997 0.980
Pd: 0.781 0.281 0.500

The calculated volume is 213.92 Å³ per cell. The calculated total energy comes out at -5.26 eV per atom. The value obtained for the magnetic moment is 0.000 μB per atom. For the formation enthalpy at 0 K, the calculation gives -749 meV per atom.